P:
VASP calculation (PBE) on crystalline Mg4InBi at its relaxed geometry.

abc: 5.9700 5.9700 5.9700
angles: 60.00 60.00 60.00
Sites, in units of the cell vectors:
Mg: 0.1249 0.1249 0.1249
Mg: 0.1249 0.1249 0.6252
Mg: 0.1249 0.6252 0.1249
Mg: 0.6252 0.1249 0.1249
In: 0.7500 0.7500 0.7500
Bi: 0.5000 0.5000 0.5000

**Density of states at the Fermi level**: 5.72 states/eV/f.u.
**Space group**: F-43m

=====

Q:
VASP calculation (PBE) on crystalline Mg4InBi at its relaxed geometry.

abc: 6.8929 6.8948 6.9738
angles: 90.00 90.13 90.00
Sites, in units of the cell vectors:
Mg: 0.2492 0.2497 0.2710
Mg: 0.2492 0.7503 0.2710
Mg: 0.2508 0.2503 0.7290
Mg: 0.2508 0.7497 0.7290
Mg: 0.7492 0.2503 0.2710
Mg: 0.7492 0.7497 0.2710
Mg: 0.7508 0.2497 0.7290
Mg: 0.7508 0.7503 0.7290
In: 0.0000 0.0000 0.5000
In: 0.5000 0.5000 0.5000
Bi: 0.0000 0.5000 0.0000
Bi: 0.5000 0.0000 0.0000

**Density of states at the Fermi level**: 1.42 states/eV/f.u.
**Space group**: C2/m

=====

Most stable structure, least stable structure: Q, P.

=====

P:
VASP calculation (PBE) on crystalline Mg3InBi3 at its relaxed geometry.

abc: 8.1536 8.1536 8.1536
angles: 90.00 90.00 90.00
Sites, in units of the cell vectors:
Mg: 0.0000 0.2500 0.5000
Mg: 0.0000 0.7500 0.5000
Mg: 0.2500 0.5000 0.0000
Mg: 0.5000 0.0000 0.2500
Mg: 0.5000 0.0000 0.7500
Mg: 0.7500 0.5000 0.0000
In: 0.0000 0.0000 0.0000
In: 0.5000 0.5000 0.5000
Bi: 0.0000 0.5000 0.2500
Bi: 0.0000 0.5000 0.7500
Bi: 0.2500 0.0000 0.5000
Bi: 0.5000 0.2500 0.0000
Bi: 0.5000 0.7500 0.0000
Bi: 0.7500 0.0000 0.5000

**Density of states at the Fermi level**: 10.57 states/eV/f.u.
**Space group**: Pm-3n

=====

Q:
VASP calculation (PBE) on crystalline Mg3InBi3 at its relaxed geometry.

abc: 7.5300 7.5300 7.5300
angles: 74.62 74.62 74.62
Sites, in units of the cell vectors:
Mg: 0.1922 0.4580 0.6016
Mg: 0.3984 0.8078 0.5420
Mg: 0.4580 0.6016 0.1922
Mg: 0.5420 0.3984 0.8078
Mg: 0.6016 0.1922 0.4580
Mg: 0.8078 0.5420 0.3984
In: 0.2579 0.2579 0.2579
In: 0.7421 0.7421 0.7421
Bi: 0.0502 0.8475 0.3500
Bi: 0.1525 0.6500 0.9498
Bi: 0.3500 0.0502 0.8475
Bi: 0.6500 0.9499 0.1525
Bi: 0.8475 0.3500 0.0502
Bi: 0.9498 0.1525 0.6500

**Density of states at the Fermi level**: 3.44 states/eV/f.u.
**Space group**: R-3

=====

Most stable structure, least stable structure: Q, P.

=====

P:
VASP calculation (PBE) on crystalline Mg3In3Bi at its relaxed geometry.

abc: 7.9463 7.9463 7.9463
angles: 90.00 90.00 90.00
Sites, in units of the cell vectors:
Mg: 0.0000 0.2500 0.5000
Mg: 0.0000 0.7500 0.5000
Mg: 0.2500 0.5000 0.0000
Mg: 0.5000 0.0000 0.2500
Mg: 0.5000 0.0000 0.7500
Mg: 0.7500 0.5000 0.0000
In: 0.0000 0.5000 0.2500
In: 0.0000 0.5000 0.7500
In: 0.2500 0.0000 0.5000
In: 0.5000 0.2500 0.0000
In: 0.5000 0.7500 0.0000
In: 0.7500 0.0000 0.5000
Bi: 0.0000 0.0000 0.0000
Bi: 0.5000 0.5000 0.5000

**Density of states at the Fermi level**: 3.73 states/eV/f.u.
**Space group**: Pm-3n

=====

Q:
VASP calculation (PBE) on crystalline Mg3In3Bi at its relaxed geometry.

abc: 9.1088 9.1088 9.1088
angles: 50.72 50.72 50.72
Sites, in units of the cell vectors:
Mg: 0.0031 0.5223 0.6937
Mg: 0.3063 0.9969 0.4777
Mg: 0.4777 0.3063 0.9969
Mg: 0.5223 0.6937 0.0031
Mg: 0.6937 0.0031 0.5223
Mg: 0.9969 0.4777 0.3063
In: 0.1319 0.6567 0.8272
In: 0.1728 0.8681 0.3433
In: 0.3433 0.1728 0.8681
In: 0.6567 0.8272 0.1319
In: 0.8272 0.1319 0.6567
In: 0.8681 0.3433 0.1728
Bi: 0.3592 0.3592 0.3592
Bi: 0.6408 0.6408 0.6408

**Density of states at the Fermi level**: 2.66 states/eV/f.u.
**Space group**: R-3

=====

Most stable structure, least stable structure: Q, P.

=====

P:
VASP calculation (PBE) on crystalline NaMgInBi at its relaxed geometry.

abc: 5.1091 5.1097 8.3437
angles: 90.00 90.05 90.00
Sites, in units of the cell vectors:
Na: 0.0000 0.0000 0.0000
Na: 0.5000 0.5000 0.0000
Mg: 0.4988 0.5000 0.5144
Mg: 0.9988 0.0000 0.5144
In: 0.0006 0.5000 0.7321
In: 0.5006 0.0000 0.7321
Bi: 0.0001 0.5000 0.2818
Bi: 0.5001 0.0000 0.2818

**Density of states at the Fermi level**: 2.08 states/eV/f.u.
**Space group**: Cm

=====

Q:
VASP calculation (PBE) on crystalline NaMgInBi at its relaxed geometry.

abc: 7.5769 7.5769 7.5769
angles: 90.00 90.00 90.00
Sites, in units of the cell vectors:
Na: 0.0000 0.0000 0.0000
Na: 0.0000 0.5000 0.5000
Na: 0.5000 0.0000 0.5000
Na: 0.5000 0.5000 0.0000
Mg: 0.0000 0.0000 0.5000
Mg: 0.0000 0.5000 0.0000
Mg: 0.5000 0.0000 0.0000
Mg: 0.5000 0.5000 0.5000
In: 0.2500 0.2500 0.2500
In: 0.2500 0.7500 0.7500
In: 0.7500 0.2500 0.7500
In: 0.7500 0.7500 0.2500
Bi: 0.2500 0.2500 0.7500
Bi: 0.2500 0.7500 0.2500
Bi: 0.7500 0.2500 0.2500
Bi: 0.7500 0.7500 0.7500

**Density of states at the Fermi level**: 1.63 states/eV/f.u.
**Space group**: F-43m

=====

Most stable structure, least stable structure: Q, P.

=====

P:
VASP calculation (PBE) on crystalline PrMgInBi at its relaxed geometry.

abc: 7.7094 7.7094 7.7094
angles: 90.00 90.00 90.00
Sites, in units of the cell vectors:
Pr: 0.0000 0.0000 0.0000
Pr: 0.0000 0.5000 0.5000
Pr: 0.5000 0.0000 0.5000
Pr: 0.5000 0.5000 0.0000
Mg: 0.0000 0.0000 0.5000
Mg: 0.0000 0.5000 0.0000
Mg: 0.5000 0.0000 0.0000
Mg: 0.5000 0.5000 0.5000
In: 0.2500 0.2500 0.2500
In: 0.2500 0.7500 0.7500
In: 0.7500 0.2500 0.7500
In: 0.7500 0.7500 0.2500
Bi: 0.2500 0.2500 0.7500
Bi: 0.2500 0.7500 0.2500
Bi: 0.7500 0.2500 0.2500
Bi: 0.7500 0.7500 0.7500

**Density of states at the Fermi level**: 3.90 states/eV/f.u.
**Space group**: F-43m

=====

Q:
VASP calculation (PBE) on crystalline PrMgInBi at its relaxed geometry.

abc: 4.5734 4.8946 4.9559
angles: 90.00 90.00 90.00
Sites, in units of the cell vectors:
Pr: 0.0000 0.0000 0.0000
Mg: 0.0000 0.5000 0.5000
In: 0.5000 0.0000 0.5000
Bi: 0.5000 0.5000 0.0000

**Density of states at the Fermi level**: 1.95 states/eV/f.u.
**Space group**: Pmmm

=====

Most stable structure, least stable structure: Q, P.

=====

P:
VASP calculation (PBE) on crystalline PuMgInBi at its relaxed geometry.

abc: 7.5546 7.5546 7.5546
angles: 90.00 90.00 90.00
Sites, in units of the cell vectors:
Pu: 0.0000 0.0000 0.0000
Pu: 0.0000 0.5000 0.5000
Pu: 0.5000 0.0000 0.5000
Pu: 0.5000 0.5000 0.0000
Mg: 0.0000 0.0000 0.5000
Mg: 0.0000 0.5000 0.0000
Mg: 0.5000 0.0000 0.0000
Mg: 0.5000 0.5000 0.5000
In: 0.2500 0.2500 0.7500
In: 0.2500 0.7500 0.2500
In: 0.7500 0.2500 0.2500
In: 0.7500 0.7500 0.7500
Bi: 0.2500 0.2500 0.2500
Bi: 0.2500 0.7500 0.7500
Bi: 0.7500 0.2500 0.7500
Bi: 0.7500 0.7500 0.2500

**Density of states at the Fermi level**: 13.01 states/eV/f.u.
**Space group**: F-43m

=====

Q:
VASP calculation (PBE) on crystalline PuMgInBi at its relaxed geometry.

abc: 4.4770 4.7111 5.0013
angles: 90.00 90.00 90.00
Sites, in units of the cell vectors:
Pu: 0.0000 0.0000 0.0000
Mg: 0.0000 0.5000 0.5000
In: 0.5000 0.0000 0.5000
Bi: 0.5000 0.5000 0.0000

**Density of states at the Fermi level**: 10.92 states/eV/f.u.
**Space group**: Pmmm

=====

Most stable structure, least stable structure: Q, P.

=====

P:
VASP calculation (PBE) on crystalline MgInSnBi at its relaxed geometry.

abc: 7.6106 7.6106 7.6106
angles: 90.00 90.00 90.00
Sites, in units of the cell vectors:
Mg: 0.0000 0.0000 0.0000
Mg: 0.0000 0.5000 0.5000
Mg: 0.5000 0.0000 0.5000
Mg: 0.5000 0.5000 0.0000
In: 0.2500 0.2500 0.2500
In: 0.2500 0.7500 0.7500
In: 0.7500 0.2500 0.7500
In: 0.7500 0.7500 0.2500
Sn: 0.0000 0.0000 0.5000
Sn: 0.0000 0.5000 0.0000
Sn: 0.5000 0.0000 0.0000
Sn: 0.5000 0.5000 0.5000
Bi: 0.2500 0.2500 0.7500
Bi: 0.2500 0.7500 0.2500
Bi: 0.7500 0.2500 0.2500
Bi: 0.7500 0.7500 0.7500

**Density of states at the Fermi level**: 2.24 states/eV/f.u.
**Space group**: F-43m

=====

Q:
VASP calculation (PBE) on crystalline MgInSnBi at its relaxed geometry.

abc: 3.4986 3.4986 8.9271
angles: 90.00 90.00 90.00
Sites, in units of the cell vectors:
Mg: 0.0000 0.0000 0.0000
In: 0.0000 0.0000 0.4782
Sn: 0.5000 0.5000 0.2182
Bi: 0.5000 0.5000 0.7639

**Density of states at the Fermi level**: 1.92 states/eV/f.u.
**Space group**: P4mm

=====

Most stable structure, least stable structure: Q, P.

=====

P:
VASP calculation (PBE) on crystalline InBi2N at its relaxed geometry.

abc: 5.9800 5.9800 13.0367
angles: 90.00 90.00 90.00
Sites, in units of the cell vectors:
In: 0.0000 0.0000 0.0000
In: 0.0000 0.5000 0.2500
In: 0.5000 0.0000 0.7500
In: 0.5000 0.5000 0.5000
Bi: 0.1562 0.2500 0.6250
Bi: 0.2500 0.6562 0.8750
Bi: 0.2500 0.8438 0.3750
Bi: 0.3438 0.2500 0.1250
Bi: 0.6562 0.7500 0.1250
Bi: 0.7500 0.1562 0.3750
Bi: 0.7500 0.3438 0.8750
Bi: 0.8438 0.7500 0.6250
N: 0.0000 0.0000 0.5000
N: 0.0000 0.5000 0.7500
N: 0.5000 0.0000 0.2500
N: 0.5000 0.5000 0.0000

**Density of states at the Fermi level**: 0.35 states/eV/f.u.
**Space group**: I-42d

=====

Q:
VASP calculation (PBE) on crystalline InBi2N at its relaxed geometry.

abc: 7.1843 7.1843 7.1843
angles: 90.00 90.00 90.00
Sites, in units of the cell vectors:
In: 0.0000 0.0000 0.0000
In: 0.0000 0.5000 0.5000
In: 0.5000 0.0000 0.5000
In: 0.5000 0.5000 0.0000
Bi: 0.2500 0.2500 0.2500
Bi: 0.2500 0.2500 0.7500
Bi: 0.2500 0.7500 0.2500
Bi: 0.2500 0.7500 0.7500
Bi: 0.7500 0.2500 0.2500
Bi: 0.7500 0.2500 0.7500
Bi: 0.7500 0.7500 0.2500
Bi: 0.7500 0.7500 0.7500
N: 0.0000 0.0000 0.5000
N: 0.0000 0.5000 0.0000
N: 0.5000 0.0000 0.0000
N: 0.5000 0.5000 0.5000

**Density of states at the Fermi level**: 4.08 states/eV/f.u.
**Space group**: Fm-3m

=====

Most stable structure, least stable structure: P, Q.